[1]
4
Lattice="0.000 3.404 3.404 3.404 0.000 3.404 3.404 3.404 0.000" Properties=species:S:1:pos:R:3 comment="LiNdPdPt, relaxed, DFT GGA-PBE" density_g_cm3=9.5 e_above_lowest_polymorph_ev_per_fu=0.16 dos_ef_per_ev_cell=0.46 m_tot_mub_per_cell=0.00 sg="F-43m, No. 216" pbc="T T T"
Li 0.000 0.000 0.000
Nd 3.404 3.404 3.404
Pd 5.106 5.106 5.106
Pt 1.702 1.702 1.702

---

[2]
4
Lattice="2.191 1.265 4.767 -2.191 1.265 4.767 0.000 -2.530 4.767" Properties=species:S:1:pos:R:3 comment="LiNdPdPt, relaxed, DFT GGA-PBE" density_g_cm3=9.5 e_above_lowest_polymorph_ev_per_fu=0.00 dos_ef_per_ev_cell=1.27 m_tot_mub_per_cell=0.00 sg="R3m, No. 160" pbc="T T T"
Li 0.000 0.000 0.000
Nd 0.000 0.000 7.059
Pd 0.000 0.000 4.006
Pt 0.000 0.000 10.173

---

[3]
4
Lattice="0.000 3.605 3.605 3.605 0.000 3.605 3.605 3.605 0.000" Properties=species:S:1:pos:R:3 comment="LiNdPuPd, relaxed, DFT GGA-PBE" density_g_cm3=8.9 dos_ef_per_ev_cell=9.01 m_tot_mub_per_cell=5.86 sg="F-43m, No. 216" pbc="T T T"
Li 0.000 0.000 0.000
Nd 1.802 1.802 1.802
Pu 5.407 5.407 5.407
Pd 3.605 3.605 3.605

---

[4]
10
Lattice="4.109 0.000 0.000 0.000 4.109 0.000 0.000 0.000 13.674" Properties=species:S:1:pos:R:3 comment="LiNd2PdRh, relaxed, DFT GGA-PBE" density_g_cm3=7.3 dos_ef_per_ev_cell=4.56 m_tot_mub_per_cell=0.00 sg="P4/nmm, No. 129" pbc="T T T"
Li 1.027 3.082 0.000
Li 3.082 1.027 0.000
Nd 1.027 1.027 2.691
Nd 1.027 1.027 8.371
Nd 3.082 3.082 5.303
Nd 3.082 3.082 10.983
Pd 1.027 1.027 11.779
Pd 3.082 3.082 1.895
Rh 1.027 1.027 5.420
Rh 3.082 3.082 8.254

---

ΔH_f (0 K) (computed, eV/atom): -0.706; -0.747; -0.148; -0.575